(1)
# CaSiHg2 | Alexandria | PBE-GGA | relaxed
# M_tot   0.000 μB/f.u.
# SG   P4mm, No. 99
# Energy relative to the elements, uncorrected   -0.042 eV/atom
data_CaSiHg2
_space_group_name_H-M_alt 'P 1'
_space_group_IT_number 1
_space_group_name_Hall 'P 1'
_cell_length_a 3.661
_cell_length_b 3.661
_cell_length_c 7.086
_cell_angle_alpha 90.00
_cell_angle_beta 90.00
_cell_angle_gamma 90.00
loop_
_atom_site_label
_atom_site_type_symbol
_atom_site_fract_x
_atom_site_fract_y
_atom_site_fract_z
_atom_site_occupancy
Ca1 Ca 0.000 0.000 0.000 1
Si1 Si 0.500 0.500 0.722 1
Hg1 Hg 0.000 0.000 0.541 1
Hg2 Hg 0.500 0.500 0.279 1

---

(2)
# CaSi2Hg | Alexandria | PBE-GGA | relaxed
# M_tot   0.000 μB/f.u.
# SG   C2/m, No. 12
# Energy relative to the elements, uncorrected   -0.051 eV/atom
data_CaSi2Hg
_space_group_name_H-M_alt 'P 1'
_space_group_IT_number 1
_space_group_name_Hall 'P 1'
_cell_length_a 5.461
_cell_length_b 5.461
_cell_length_c 5.249
_cell_angle_alpha 112.82
_cell_angle_beta 112.82
_cell_angle_gamma 41.51
loop_
_atom_site_label
_atom_site_type_symbol
_atom_site_fract_x
_atom_site_fract_y
_atom_site_fract_z
_atom_site_occupancy
Ca1 Ca 0.000 0.000 0.000 1
Si1 Si 0.266 0.266 0.647 1
Si2 Si 0.734 0.734 0.353 1
Hg1 Hg 0.500 0.500 0.500 1

---

(3)
# CaSiHg | Alexandria | PBE-GGA | relaxed
# M_tot   0.000 μB/f.u.
# SG   Cm, No. 8
# Energy relative to the elements, uncorrected   -0.292 eV/atom
data_CaSiHg
_space_group_name_H-M_alt 'P 1'
_space_group_IT_number 1
_space_group_name_Hall 'P 1'
_cell_length_a 6.309
_cell_length_b 6.309
_cell_length_c 7.624
_cell_angle_alpha 125.21
_cell_angle_beta 125.21
_cell_angle_gamma 36.05
loop_
_atom_site_label
_atom_site_type_symbol
_atom_site_fract_x
_atom_site_fract_y
_atom_site_fract_z
_atom_site_occupancy
Ca1 Ca 0.000 0.000 0.000 1
Ca2 Ca 0.143 0.143 0.608 1
Si1 Si 0.406 0.406 0.611 1
Si2 Si 0.768 0.768 0.400 1
Hg1 Hg 0.426 0.426 0.245 1
Hg2 Hg 0.700 0.700 0.969 1

---

(4)
# CaSiHg3 | Alexandria | PBE-GGA | relaxed
# M_tot   0.000 μB/f.u.
# SG   Pm-3m, No. 221
# Energy relative to the elements, uncorrected   0.033 eV/atom
# Relative energy among the computed polymorphs   0 meV/atom
data_CaSiHg3
_space_group_name_H-M_alt 'P 1'
_space_group_IT_number 1
_space_group_name_Hall 'P 1'
_cell_length_a 5.165
_cell_length_b 5.165
_cell_length_c 5.165
_cell_angle_alpha 90.00
_cell_angle_beta 90.00
_cell_angle_gamma 90.00
loop_
_atom_site_label
_atom_site_type_symbol
_atom_site_fract_x
_atom_site_fract_y
_atom_site_fract_z
_atom_site_occupancy
Ca1 Ca 0.000 0.000 0.000 1
Si1 Si 0.500 0.500 0.500 1
Hg1 Hg 0.000 0.500 0.500 1
Hg2 Hg 0.500 0.000 0.500 1
Hg3 Hg 0.500 0.500 0.000 1

---

(5)
# CaSi4Hg | Alexandria | PBE-GGA | relaxed
# M_tot   0.000 μB/f.u.
# SG   F-43m, No. 216
# Energy relative to the elements, uncorrected   0.076 eV/atom
data_CaSi4Hg
_space_group_name_H-M_alt 'P 1'
_space_group_IT_number 1
_space_group_name_Hall 'P 1'
_cell_length_a 5.378
_cell_length_b 5.378
_cell_length_c 5.378
_cell_angle_alpha 60.00
_cell_angle_beta 60.00
_cell_angle_gamma 60.00
loop_
_atom_site_label
_atom_site_type_symbol
_atom_site_fract_x
_atom_site_fract_y
_atom_site_fract_z
_atom_site_occupancy
Ca1 Ca 0.000 0.000 0.000 1
Si1 Si 0.374 0.374 0.374 1
Si2 Si 0.374 0.374 0.877 1
Si3 Si 0.374 0.877 0.374 1
Si4 Si 0.877 0.374 0.374 1
Hg1 Hg 0.750 0.750 0.750 1

---

(6)
# Ca4Si2Hg | Alexandria | PBE-GGA | relaxed
# M_tot   0.000 μB/f.u.
# SG   Cmcm, No. 63
# Energy relative to the elements, uncorrected   -0.318 eV/atom
data_Ca4Si2Hg
_space_group_name_H-M_alt 'P 1'
_space_group_IT_number 1
_space_group_name_Hall 'P 1'
_cell_length_a 5.222
_cell_length_b 5.222
_cell_length_c 16.288
_cell_angle_alpha 90.00
_cell_angle_beta 90.00
_cell_angle_gamma 119.97
loop_
_atom_site_label
_atom_site_type_symbol
_atom_site_fract_x
_atom_site_fract_y
_atom_site_fract_z
_atom_site_occupancy
Ca1 Ca 0.000 0.000 0.000 1
Ca2 Ca 0.000 0.000 0.500 1
Ca3 Ca 0.333 0.667 0.616 1
Ca4 Ca 0.333 0.667 0.884 1
Ca5 Ca 0.334 0.666 0.250 1
Ca6 Ca 0.666 0.334 0.750 1
Ca7 Ca 0.667 0.333 0.116 1
Ca8 Ca 0.667 0.333 0.384 1
Si1 Si 0.334 0.666 0.071 1
Si2 Si 0.334 0.666 0.429 1
Si3 Si 0.666 0.334 0.571 1
Si4 Si 0.666 0.334 0.929 1
Hg1 Hg 0.001 0.999 0.250 1
Hg2 Hg 0.999 0.001 0.750 1

---

(7)
# CaSi2Hg | Alexandria | PBE-GGA | relaxed
# M_tot   0.000 μB/f.u.
# SG   Pmmm, No. 47
# Energy relative to the elements, uncorrected   -0.009 eV/atom
data_CaSi2Hg
_space_group_name_H-M_alt 'P 1'
_space_group_IT_number 1
_space_group_name_Hall 'P 1'
_cell_length_a 4.119
_cell_length_b 4.204
_cell_length_c 5.586
_cell_angle_alpha 90.00
_cell_angle_beta 90.00
_cell_angle_gamma 90.00
loop_
_atom_site_label
_atom_site_type_symbol
_atom_site_fract_x
_atom_site_fract_y
_atom_site_fract_z
_atom_site_occupancy
Ca1 Ca 0.000 0.000 0.000 1
Si1 Si 0.500 0.500 0.205 1
Si2 Si 0.500 0.500 0.795 1
Hg1 Hg 0.000 0.500 0.500 1

---

(8)
# CaSi2Hg | Alexandria | PBE-GGA | relaxed
# M_tot   0.000 μB/f.u.
# SG   Cm, No. 8
# Energy relative to the elements, uncorrected   -0.068 eV/atom
data_CaSi2Hg
_space_group_name_H-M_alt 'P 1'
_space_group_IT_number 1
_space_group_name_Hall 'P 1'
_cell_length_a 5.758
_cell_length_b 5.758
_cell_length_c 4.906
_cell_angle_alpha 115.01
_cell_angle_beta 115.01
_cell_angle_gamma 38.29
loop_
_atom_site_label
_atom_site_type_symbol
_atom_site_fract_x
_atom_site_fract_y
_atom_site_fract_z
_atom_site_occupancy
Ca1 Ca 0.000 0.000 0.000 1
Si1 Si 0.410 0.410 0.411 1
Si2 Si 0.760 0.760 0.258 1
Hg1 Hg 0.198 0.198 0.698 1

---

(9)
# CaSiHg | Alexandria | PBE-GGA | relaxed
# M_tot   0.000 μB/f.u.
# SG   Imma, No. 74
# Energy relative to the elements, uncorrected   -0.326 eV/atom
data_CaSiHg
_space_group_name_H-M_alt 'P 1'
_space_group_IT_number 1
_space_group_name_Hall 'P 1'
_cell_length_a 6.026
_cell_length_b 6.026
_cell_length_c 6.026
_cell_angle_alpha 135.37
_cell_angle_beta 96.66
_cell_angle_gamma 99.92
loop_
_atom_site_label
_atom_site_type_symbol
_atom_site_fract_x
_atom_site_fract_y
_atom_site_fract_z
_atom_site_occupancy
Ca1 Ca 0.000 0.000 0.000 1
Ca2 Ca 0.500 0.000 0.500 1
Si1 Si 0.438 0.688 0.750 1
Si2 Si 0.562 0.312 0.250 1
Hg1 Hg 0.106 0.356 0.750 1
Hg2 Hg 0.894 0.644 0.250 1

---

(10)
# CaSiHg2 | Alexandria | PBE-GGA | relaxed
# M_tot   0.000 μB/f.u.
# SG   P2/m, No. 10
# Energy relative to the elements, uncorrected   -0.099 eV/atom
data_CaSiHg2
_space_group_name_H-M_alt 'P 1'
_space_group_IT_number 1
_space_group_name_Hall 'P 1'
_cell_length_a 3.607
_cell_length_b 4.577
_cell_length_c 5.945
_cell_angle_alpha 90.00
_cell_angle_beta 101.68
_cell_angle_gamma 90.00
loop_
_atom_site_label
_atom_site_type_symbol
_atom_site_fract_x
_atom_site_fract_y
_atom_site_fract_z
_atom_site_occupancy
Ca1 Ca 0.000 0.000 0.000 1
Si1 Si 0.500 0.000 0.500 1
Hg1 Hg 0.376 0.500 0.737 1
Hg2 Hg 0.624 0.500 0.263 1

---

(11)
# CaSiHg | Alexandria | PBE-GGA | relaxed
# M_tot   0.000 μB/f.u.
# SG   I4mm, No. 107
# Energy relative to the elements, uncorrected   -0.089 eV/atom
data_CaSiHg
_space_group_name_H-M_alt 'P 1'
_space_group_IT_number 1
_space_group_name_Hall 'P 1'
_cell_length_a 5.978
_cell_length_b 5.978
_cell_length_c 5.978
_cell_angle_alpha 144.86
_cell_angle_beta 144.86
_cell_angle_gamma 50.55
loop_
_atom_site_label
_atom_site_type_symbol
_atom_site_fract_x
_atom_site_fract_y
_atom_site_fract_z
_atom_site_occupancy
Ca1 Ca 0.000 0.000 0.000 1
Si1 Si 0.680 0.680 0.000 1
Hg1 Hg 0.316 0.316 0.000 1

---

(12)
# CaSi2Hg | Alexandria | PBE-GGA | relaxed
# M_tot   0.000 μB/f.u.
# SG   P4mm, No. 99
# Energy relative to the elements, uncorrected   -0.046 eV/atom
data_CaSi2Hg
_space_group_name_H-M_alt 'P 1'
_space_group_IT_number 1
_space_group_name_Hall 'P 1'
_cell_length_a 3.477
_cell_length_b 3.477
_cell_length_c 6.961
_cell_angle_alpha 90.00
_cell_angle_beta 90.00
_cell_angle_gamma 90.00
loop_
_atom_site_label
_atom_site_type_symbol
_atom_site_fract_x
_atom_site_fract_y
_atom_site_fract_z
_atom_site_occupancy
Ca1 Ca 0.000 0.000 0.000 1
Si1 Si 0.000 0.000 0.576 1
Si2 Si 0.500 0.500 0.697 1
Hg1 Hg 0.500 0.500 0.296 1

---

(13)
# Ca6Si2Hg | Alexandria | PBE-GGA | relaxed
# M_tot   0.909 μB/f.u.
# SG   Immm, No. 71
# Energy relative to the elements, uncorrected   -0.382 eV/atom
data_Ca6Si2Hg
_space_group_name_H-M_alt 'P 1'
_space_group_IT_number 1
_space_group_name_Hall 'P 1'
_cell_length_a 8.863
_cell_length_b 8.863
_cell_length_c 8.863
_cell_angle_alpha 112.26
_cell_angle_beta 110.93
_cell_angle_gamma 105.30
loop_
_atom_site_label
_atom_site_type_symbol
_atom_site_fract_x
_atom_site_fract_y
_atom_site_fract_z
_atom_site_occupancy
Ca1 Ca 0.017 0.825 0.192 1
Ca2 Ca 0.244 0.543 0.299 1
Ca3 Ca 0.244 0.945 0.701 1
Ca4 Ca 0.277 0.317 0.595 1
Ca5 Ca 0.277 0.683 0.960 1
Ca6 Ca 0.367 0.175 0.192 1
Ca7 Ca 0.633 0.825 0.808 1
Ca8 Ca 0.723 0.317 0.040 1
Ca9 Ca 0.723 0.683 0.405 1
Ca10 Ca 0.756 0.055 0.299 1
Ca11 Ca 0.756 0.457 0.701 1
Ca12 Ca 0.983 0.175 0.808 1
Si1 Si 0.000 0.138 0.138 1
Si2 Si 0.000 0.862 0.862 1
Si3 Si 0.388 0.388 0.000 1
Si4 Si 0.612 0.612 0.000 1
Hg1 Hg 0.000 0.500 0.500 1
Hg2 Hg 0.500 0.000 0.500 1

---

(14)
# CaSi2Hg | Alexandria | PBE-GGA | relaxed
# M_tot   0.000 μB/f.u.
# SG   Pm, No. 6
# Energy relative to the elements, uncorrected   -0.085 eV/atom
data_CaSi2Hg
_space_group_name_H-M_alt 'P 1'
_space_group_IT_number 1
_space_group_name_Hall 'P 1'
_cell_length_a 4.505
_cell_length_b 3.816
_cell_length_c 5.611
_cell_angle_alpha 90.00
_cell_angle_beta 111.38
_cell_angle_gamma 90.00
loop_
_atom_site_label
_atom_site_type_symbol
_atom_site_fract_x
_atom_site_fract_y
_atom_site_fract_z
_atom_site_occupancy
Ca1 Ca 0.000 0.000 0.000 1
Si1 Si 0.590 0.500 0.152 1
Si2 Si 0.680 0.000 0.430 1
Hg1 Hg 0.274 0.500 0.628 1

---

(15)
# CaSi2Hg | Alexandria | PBE-GGA | relaxed
# M_tot   0.000 μB/f.u.
# SG   I4/mmm, No. 139
# Energy relative to the elements, uncorrected   0.108 eV/atom
data_CaSi2Hg
_space_group_name_H-M_alt 'P 1'
_space_group_IT_number 1
_space_group_name_Hall 'P 1'
_cell_length_a 5.660
_cell_length_b 5.660
_cell_length_c 5.660
_cell_angle_alpha 136.68
_cell_angle_beta 136.68
_cell_angle_gamma 62.94
loop_
_atom_site_label
_atom_site_type_symbol
_atom_site_fract_x
_atom_site_fract_y
_atom_site_fract_z
_atom_site_occupancy
Ca1 Ca 0.000 0.000 0.000 1
Si1 Si 0.250 0.750 0.500 1
Si2 Si 0.750 0.250 0.500 1
Hg1 Hg 0.500 0.500 0.000 1

---

(16)
# CaSiHg2 | Alexandria | PBE-GGA | relaxed
# M_tot   0.000 μB/f.u.
# SG   F-43m, No. 216
# Energy relative to the elements, uncorrected   -0.078 eV/atom
data_CaSiHg2
_space_group_name_H-M_alt 'P 1'
_space_group_IT_number 1
_space_group_name_Hall 'P 1'
_cell_length_a 5.087
_cell_length_b 5.087
_cell_length_c 5.087
_cell_angle_alpha 60.00
_cell_angle_beta 60.00
_cell_angle_gamma 60.00
loop_
_atom_site_label
_atom_site_type_symbol
_atom_site_fract_x
_atom_site_fract_y
_atom_site_fract_z
_atom_site_occupancy
Ca1 Ca 0.000 0.000 0.000 1
Si1 Si 0.250 0.250 0.250 1
Hg1 Hg 0.500 0.500 0.500 1
Hg2 Hg 0.750 0.750 0.750 1

---

(17)
# CaSiHg2 | Alexandria | PBE-GGA | relaxed
# M_tot   0.000 μB/f.u.
# SG   Pm, No. 6
# Energy relative to the elements, uncorrected   -0.111 eV/atom
data_CaSiHg2
_space_group_name_H-M_alt 'P 1'
_space_group_IT_number 1
_space_group_name_Hall 'P 1'
_cell_length_a 3.576
_cell_length_b 4.426
_cell_length_c 6.248
_cell_angle_alpha 90.00
_cell_angle_beta 106.62
_cell_angle_gamma 90.00
loop_
_atom_site_label
_atom_site_type_symbol
_atom_site_fract_x
_atom_site_fract_y
_atom_site_fract_z
_atom_site_occupancy
Ca1 Ca 0.000 0.000 0.000 1
Si1 Si 0.403 0.500 0.807 1
Hg1 Hg 0.269 0.000 0.536 1
Hg2 Hg 0.643 0.500 0.298 1

---

(18)
# CaSi2Hg | Alexandria | PBE-GGA | relaxed
# M_tot   0.000 μB/f.u.
# SG   C2/m, No. 12
# Energy relative to the elements, uncorrected   0.032 eV/atom
data_CaSi2Hg
_space_group_name_H-M_alt 'P 1'
_space_group_IT_number 1
_space_group_name_Hall 'P 1'
_cell_length_a 4.393
_cell_length_b 4.393
_cell_length_c 4.233
_cell_angle_alpha 90.15
_cell_angle_beta 90.15
_cell_angle_gamma 90.43
loop_
_atom_site_label
_atom_site_type_symbol
_atom_site_fract_x
_atom_site_fract_y
_atom_site_fract_z
_atom_site_occupancy
Ca1 Ca 0.000 0.000 0.000 1
Si1 Si 0.000 0.500 0.500 1
Si2 Si 0.500 0.000 0.500 1
Hg1 Hg 0.500 0.500 0.000 1

---

(19)
# CaSi2Hg | Alexandria | PBE-GGA | relaxed
# M_tot   0.000 μB/f.u.
# SG   R3m, No. 160
# Energy relative to the elements, uncorrected   -0.139 eV/atom
data_CaSi2Hg
_space_group_name_H-M_alt 'P 1'
_space_group_IT_number 1
_space_group_name_Hall 'P 1'
_cell_length_a 7.637
_cell_length_b 7.637
_cell_length_c 7.637
_cell_angle_alpha 29.38
_cell_angle_beta 29.38
_cell_angle_gamma 29.38
loop_
_atom_site_label
_atom_site_type_symbol
_atom_site_fract_x
_atom_site_fract_y
_atom_site_fract_z
_atom_site_occupancy
Ca1 Ca 0.000 0.000 0.000 1
Si1 Si 0.463 0.463 0.463 1
Si2 Si 0.756 0.756 0.756 1
Hg1 Hg 0.226 0.226 0.226 1

---

(20)
# CaSmSiHg | Alexandria | PBE-GGA | relaxed
# M_tot   0.000 μB/f.u.
# SG   F-43m, No. 216
# Energy relative to the elements, uncorrected   -0.444 eV/atom
data_CaSmSiHg
_space_group_name_H-M_alt 'P 1'
_space_group_IT_number 1
_space_group_name_Hall 'P 1'
_cell_length_a 5.218
_cell_length_b 5.218
_cell_length_c 5.218
_cell_angle_alpha 60.00
_cell_angle_beta 60.00
_cell_angle_gamma 60.00
loop_
_atom_site_label
_atom_site_type_symbol
_atom_site_fract_x
_atom_site_fract_y
_atom_site_fract_z
_atom_site_occupancy
Ca1 Ca 0.000 0.000 0.000 1
Sm1 Sm 0.500 0.500 0.500 1
Si1 Si 0.250 0.250 0.250 1
Hg1 Hg 0.750 0.750 0.750 1